# 1
CsRe2HgBi GGA-PBEsol optimized geometry; crystal system = tetragonal; symmetry = P4/mmm; spin magnetization = 5.63 μB per formula unit; N(E_F) = 1.14 states/eV per atom; ρ = 9.604 g/cm3; DFT total energy = -20.13 eV per formula unit
1.0
5.1718 0.0000 0.0000
0.0000 5.1718 0.0000
0.0000 0.0000 5.9140
Cs Re Hg Bi
1 2 1 1
direct
0.0000 0.0000 0.0000
0.0000 0.5000 0.5000
0.5000 0.0000 0.5000
0.0000 0.0000 0.5000
0.5000 0.5000 0.0000

***

# 2
Pr3In5 GGA-PBEsol optimized geometry; crystal system = orthorhombic; symmetry = Cmcm; spin magnetization = 0.00 μB per formula unit; N(E_F) = 0.68 states/eV per atom; ρ = 7.656 g/cm3; DFT total energy = -35.07 eV per formula unit
1.0
5.0579 -4.1058 0.0000
5.0579 4.1058 0.0000
0.0000 0.0000 10.4113
Pr In
6 10
direct
0.1282 0.8718 0.7500
0.2960 0.2960 0.0000
0.2960 0.2960 0.5000
0.7040 0.7040 0.0000
0.7040 0.7040 0.5000
0.8718 0.1282 0.2500
0.0000 0.4244 0.7500
0.0000 0.5756 0.2500
0.1926 0.8074 0.0495
0.1926 0.8074 0.4505
0.4244 0.0000 0.2500
0.4888 0.5112 0.2500
0.5112 0.4888 0.7500
0.5756 0.0000 0.7500
0.8074 0.1926 0.5495
0.8074 0.1926 0.9505

***

# 3
TbBPd3 GGA-PBEsol optimized geometry; crystal system = cubic; symmetry = Pm-3m; spin magnetization = 0.00 μB per formula unit; N(E_F) = 0.69 states/eV per atom; ρ = 10.510 g/cm3; DFT total energy = -33.08 eV per formula unit
1.0
4.2591 0.0000 0.0000
0.0000 4.2591 0.0000
0.0000 0.0000 4.2591
Tb B Pd
1 1 3
direct
0.0000 0.0000 0.0000
0.5000 0.5000 0.5000
0.0000 0.5000 0.5000
0.5000 0.0000 0.5000
0.5000 0.5000 0.0000

***

# 4
ScAg2Pb GGA-PBEsol optimized geometry; crystal system = tetragonal; symmetry = P4/mmm; spin magnetization = 0.00 μB per formula unit; N(E_F) = 0.58 states/eV per atom; ρ = 9.753 g/cm3; DFT total energy = -18.00 eV per formula unit
1.0
4.2390 0.0000 0.0000
0.0000 4.2390 0.0000
0.0000 0.0000 4.4330
Sc Ag Pb
1 2 1
direct
0.0000 0.0000 0.0000
0.0000 0.5000 0.5000
0.5000 0.0000 0.5000
0.5000 0.5000 0.0000